# 1
# PmPu2Re

Crystalline PmPu2Re at its relaxed geometry (PBE, Alexandria via LeMat-Bulk).

Cell lengths 3.2951, 3.2951, 9.1064 Å; angles 90.00, 90.00, 90.00 degrees
Last column: nearest neighbours and their distance in Å.
Fractional coordinates of all 4 atoms:
Re (0.5000, 0.5000, 0.0000)  8 Pu 2.93
Pm (0.5000, 0.5000, 0.5000)  4 Pm 3.30, 8 Pu 3.63
Pu (0.0000, 0.0000, 0.8054)  4 Re 2.93
Pu (0.0000, 0.0000, 0.1946)  4 Re 2.93

Summary:
- Energy above the most stable polymorph in this dataset: 0.0 kJ/mol of atoms
- Fermi-level density of states: 2.653 states/eV per atom
- Raw total energy: -11.256 eV per atom
- Calculated formation energy: 0.209 eV/atom
- Magnetic moment: 10.31 μB per formula unit



# 2
# PmPu2Re

Crystalline PmPu2Re at its relaxed geometry (PBE, Alexandria via LeMat-Bulk).

Cell lengths 4.7576, 4.7576, 5.6261 Å; angles 64.99, 64.99, 60.00 degrees
Last column: nearest neighbours and their distance in Å.
Fractional coordinates of all 4 atoms:
Re (0.0000, 0.0000, 0.0000)  6 Pu 2.89
Pm (0.5000, 0.5000, 0.5000)  8 Pu 3.15-3.36
Pu (0.2716, 0.2716, 0.1853)  3 Re 2.89, 3 Pm 3.15
Pu (0.7284, 0.7284, 0.8147)  3 Re 2.89, 3 Pm 3.15

Summary:
- Energy above the most stable polymorph in this dataset: 13.0 kJ/mol of atoms
- Fermi-level density of states: 3.220 states/eV per atom
- Raw total energy: -11.122 eV per atom
- Calculated formation energy: 0.344 eV/atom
- Magnetic moment: 10.78 μB per formula unit



# 3
# PmPuRe

Crystalline PmPuRe at its relaxed geometry (PBE, Alexandria via LeMat-Bulk).

Cell lengths 4.8496, 6.6046, 5.4781 Å; angles 79.89, 60.38, 76.68 degrees
Last column: nearest neighbours and their distance in Å.
Fractional coordinates of all 6 atoms:
Pm (0.3176, 0.6484, 0.7972)  4 Pu 3.15-3.52, 4 Re 3.19-3.33
Pm (0.6824, 0.3516, 0.2028)  4 Pu 3.15-3.52, 4 Re 3.19-3.33
Pu (0.9355, 0.8500, 0.3806)  2 Re 2.62-2.73, 1 Pu 2.88
Pu (0.0645, 0.1500, 0.6194)  2 Re 2.62-2.73, 1 Pu 2.88
Re (0.5792, 0.8509, 0.1452)  1 Re 2.53, 2 Pu 2.62-2.73
Re (0.4208, 0.1491, 0.8548)  1 Re 2.53, 2 Pu 2.62-2.73

Summary:
- Fermi-level density of states: 2.201 states/eV per atom
- Raw total energy: -10.260 eV per atom
- Calculated formation energy: 0.250 eV/atom
- Magnetic moment: 4.89 μB per formula unit



# 4
# PmPuRe4

Crystalline PmPuRe4 at its relaxed geometry (PBE, Alexandria via LeMat-Bulk).

Cell lengths 5.4499, 5.4499, 5.4499 Å; angles 60.00, 60.00, 60.00 degrees
Last column: nearest neighbours and their distance in Å.
Fractional coordinates of all 6 atoms:
Re (0.6250, 0.6250, 0.1250)  6 Re 2.72-2.73
Re (0.6250, 0.1250, 0.6250)  6 Re 2.72-2.73
Re (0.6250, 0.6250, 0.6250)  6 Re 2.72-2.73
Re (0.1250, 0.6250, 0.6250)  6 Re 2.72-2.73
Pm (0.2500, 0.2500, 0.2500)  12 Re 3.20, 4 Pu 3.34
Pu (0.0000, 0.0000, 0.0000)  12 Re 3.20, 4 Pm 3.34

Summary:
- Fermi-level density of states: 1.577 states/eV per atom
- Raw total energy: -11.459 eV per atom
- Calculated formation energy: 0.020 eV/atom
- Magnetic moment: 6.21 μB per formula unit



# 5
# PmPuRe

Crystalline PmPuRe at its relaxed geometry (PBE, Alexandria via LeMat-Bulk).

Cell lengths 3.3807, 3.3807, 6.7708 Å; angles 104.46, 104.46, 90.00 degrees
Last column: nearest neighbours and their distance in Å.
Fractional coordinates of all 3 atoms:
Re (0.6749, 0.6749, 0.3499)  4 Pu 2.87, 4 Pm 3.06
Pm (0.0246, 0.0246, 0.0491)  4 Re 3.06, 4 Pm 3.38
Pu (0.3005, 0.3005, 0.6010)  4 Re 2.87

Summary:
- Fermi-level density of states: 2.222 states/eV per atom
- Raw total energy: -10.262 eV per atom
- Calculated formation energy: 0.248 eV/atom
- Magnetic moment: 5.12 μB per formula unit



# 6
# PmPu3Rh2

Crystalline PmPu3Rh2 at its relaxed geometry (PBE, Alexandria via LeMat-Bulk).

Cell lengths 3.9300, 8.1991, 8.8131 Å; angles 90.00, 90.00, 90.00 degrees
Last column: nearest neighbours and their distance in Å.
Fractional coordinates of all 12 atoms:
Pm (0.5000, 0.5282, 0.5935)  5 Rh 3.04-3.31
Pm (0.5000, 0.0282, 0.4065)  5 Rh 3.04-3.31
Pu (0.0000, 0.4730, 0.9268)  4 Rh 3.01-3.06
Pu (0.0000, 0.9730, 0.0732)  4 Rh 3.01-3.06
Pu (0.5000, 0.6410, 0.2014)  3 Rh 2.75-2.78
Pu (0.5000, 0.1410, 0.7986)  3 Rh 2.75-2.78
Pu (0.0000, 0.3616, 0.3024)  3 Rh 2.77-2.84
Pu (0.0000, 0.8616, 0.6976)  3 Rh 2.77-2.84
Rh (0.5000, 0.7510, 0.9063)  7 Pu 2.75-3.06
Rh (0.5000, 0.2510, 0.0937)  7 Pu 2.75-3.06
Rh (0.0000, 0.2451, 0.5975)  3 Pu 2.77-2.78, 2 Pm 3.04
Rh (0.0000, 0.7451, 0.4025)  3 Pu 2.77-2.78, 2 Pm 3.04

Summary:
- Fermi-level density of states: 4.077 states/eV per atom
- Raw total energy: -10.720 eV per atom
- Calculated formation energy: -0.312 eV/atom
- Magnetic moment: 5.52 μB per formula unit



# 7
# PmPuRh

Crystalline PmPuRh at its relaxed geometry (PBE, Alexandria via LeMat-Bulk).

Cell lengths 4.7814, 4.7801, 7.1624 Å; angles 90.00, 90.00, 120.01 degrees
Last column: nearest neighbours and their distance in Å.
Fractional coordinates of all 6 atoms:
Pm (0.0000, 0.0000, 0.0000)  6 Rh 3.29, 6 Pu 3.29, 2 Pm 3.58
Pm (0.0000, 0.0000, 0.5000)  6 Rh 3.29, 6 Pu 3.29, 2 Pm 3.58
Pu (0.6666, 0.3332, 0.2500)  3 Rh 2.76
Pu (0.3334, 0.6668, 0.7500)  3 Rh 2.76
Rh (0.3332, 0.6664, 0.2500)  3 Pu 2.76
Rh (0.6668, 0.3336, 0.7500)  3 Pu 2.76

Summary:
- Energy above the most stable polymorph in this dataset: 12.8 kJ/mol of atoms
- Fermi-level density of states: 2.739 states/eV per atom
- Raw total energy: -9.117 eV per atom
- Calculated formation energy: -0.306 eV/atom
- Magnetic moment: 5.82 μB per formula unit



# 8
# PmPu2Rh3

Crystalline PmPu2Rh3 at its relaxed geometry (PBE, Alexandria via LeMat-Bulk).

Cell lengths 3.4633, 3.4633, 10.3292 Å; angles 90.00, 90.00, 90.00 degrees
Last column: nearest neighbours and their distance in Å.
Fractional coordinates of all 6 atoms:
Pm (0.5000, 0.5000, 0.5000)  8 Rh 3.07
Pu (0.5000, 0.5000, 0.8374)  8 Rh 2.94-2.97
Pu (0.5000, 0.5000, 0.1626)  8 Rh 2.94-2.97
Rh (0.0000, 0.0000, 0.0000)  8 Pu 2.97, 2 Rh 3.31
Rh (0.0000, 0.0000, 0.6796)  4 Pu 2.94, 4 Pm 3.07
Rh (0.0000, 0.0000, 0.3204)  4 Pu 2.94, 4 Pm 3.07

Summary:
- Energy above the most stable polymorph in this dataset: 0.0 kJ/mol of atoms
- Fermi-level density of states: 3.178 states/eV per atom
- Raw total energy: -9.738 eV per atom
- Calculated formation energy: -0.493 eV/atom
- Magnetic moment: 9.55 μB per formula unit



# 9
# PmPuRh

Crystalline PmPuRh at its relaxed geometry (PBE, Alexandria via LeMat-Bulk).

Cell lengths 4.8573, 4.8573, 4.8573 Å; angles 60.00, 60.00, 60.00 degrees
Last column: nearest neighbours and their distance in Å.
Fractional coordinates of all 3 atoms:
Pm (0.0000, 0.0000, 0.0000)  4 Rh 2.97
Rh (0.2500, 0.2500, 0.2500)  4 Pm 2.97, 4 Pu 2.97
Pu (0.5000, 0.5000, 0.5000)  4 Rh 2.97

Summary:
- Energy above the most stable polymorph in this dataset: 15.8 kJ/mol of atoms
- Fermi-level density of states: 3.781 states/eV per atom
- Raw total energy: -9.086 eV per atom
- Calculated formation energy: -0.274 eV/atom
- Magnetic moment: 5.78 μB per formula unit



# 10
# PmPuRh

Crystalline PmPuRh at its relaxed geometry (PBE, Alexandria via LeMat-Bulk).

Cell lengths 3.5859, 6.1887, 7.1711 Å; angles 106.60, 90.03, 73.09 degrees
Last column: nearest neighbours and their distance in Å.
Fractional coordinates of all 6 atoms:
Pm (0.7051, 0.7780, 0.5688)  4 Rh 3.01-3.15, 1 Pm 3.24
Pm (0.4210, 0.3503, 0.7273)  4 Rh 3.01-3.15, 1 Pm 3.24
Pu (0.7029, 0.7829, 0.0876)  4 Rh 2.86-3.01, 1 Pu 3.18
Pu (0.4232, 0.3455, 0.2085)  4 Rh 2.86-3.01, 1 Pu 3.18
Rh (0.0802, 0.0295, 0.9048)  4 Pu 2.86-3.01, 4 Pm 3.01-3.15
Rh (0.0459, 0.0988, 0.3913)  4 Pu 2.86-3.01, 4 Pm 3.01-3.15

Summary:
- Energy above the most stable polymorph in this dataset: 12.5 kJ/mol of atoms
- Fermi-level density of states: 2.654 states/eV per atom
- Raw total energy: -9.120 eV per atom
- Calculated formation energy: -0.309 eV/atom
- Magnetic moment: 5.83 μB per formula unit